(1)
# PBE TlCd2Si, optimized geometry
# - Energy relative to the elements, uncorrected: 342 meV per atom
# - Calculated density: 8.16 g/cm³
# - Calculated volume: 93 Å³/f.u.
# - Total DFT energy (no corrections): -2.06 eV/atom
# - Excess energy over the best structure of this formula in the dataset: 63 meV/atom
# - Magnetic moment: 0.000 Bohr magnetons per cell
data_TlCd2Si
_chemical_formula_sum 'Tl2 Cd4 Si2'
_cell_length_a 4.6504
_cell_length_b 4.6504
_cell_length_c 8.6019
_cell_angle_alpha 90.00
_cell_angle_beta 90.00
_cell_angle_gamma 90.00
_space_group_name_H-M_alt 'I -4 m 2'
_space_group_IT_number 119
_space_group_name_Hall 'I -4 -2'
loop_
_atom_site_label
_atom_site_fract_x
_atom_site_fract_y
_atom_site_fract_z
Tl1 0.0000 0.0000 0.0000
Cd1 0.0000 0.0000 0.5000
Cd2 0.0000 0.5000 0.7500
Si1 0.0000 0.5000 0.2500

(2)
# PBE TlCdSi2, optimized geometry
# - Energy relative to the elements, uncorrected: 579 meV per atom
# - Calculated density: 7.15 g/cm³
# - Calculated volume: 87 Å³/f.u.
# - Total DFT energy (no corrections): -2.95 eV/atom
# - Excess energy over the best structure of this formula in the dataset: 362 meV/atom
# - Magnetic moment: 0.000 Bohr magnetons per cell
data_TlCdSi2
_chemical_formula_sum 'Tl2 Cd2 Si4'
_cell_length_a 3.0020
_cell_length_b 5.4093
_cell_length_c 10.6703
_cell_angle_alpha 90.00
_cell_angle_beta 90.00
_cell_angle_gamma 90.00
_space_group_name_H-M_alt 'I m m m'
_space_group_IT_number 71
_space_group_name_Hall '-I 2 2'
loop_
_atom_site_label
_atom_site_fract_x
_atom_site_fract_y
_atom_site_fract_z
Tl1 0.0000 0.0000 0.0000
Cd1 0.0000 0.0000 0.5000
Si1 0.0000 0.5000 0.2348

What did the first record say?
# PBE TlCd2Si, optimized geometry
# - Energy relative to the elements, uncorrected: 342 meV per atom
# - Calculated density: 8.16 g/cm³
# - Calculated volume: 93 Å³/f.u.
# - Total DFT energy (no corrections): -2.06 eV/atom
# - Excess energy over the best structure of this formula in the dataset: 63 meV/atom
# - Magnetic moment: 0.000 Bohr magnetons per cell
data_TlCd2Si
_chemical_formula_sum 'Tl2 Cd4 Si2'
_cell_length_a 4.6504
_cell_length_b 4.6504
_cell_length_c 8.6019
_cell_angle_alpha 90.00
_cell_angle_beta 90.00
_cell_angle_gamma 90.00
_space_group_name_H-M_alt 'I -4 m 2'
_space_group_IT_number 119
_space_group_name_Hall 'I -4 -2'
loop_
_atom_site_label
_atom_site_fract_x
_atom_site_fract_y
_atom_site_fract_z
Tl1 0.0000 0.0000 0.0000
Cd1 0.0000 0.0000 0.5000
Cd2 0.0000 0.5000 0.7500
Si1 0.0000 0.5000 0.2500

Number 2 is which compound? TlCdSi2

Copy entry 2 word for word.
# PBE TlCdSi2, optimized geometry
# - Energy relative to the elements, uncorrected: 579 meV per atom
# - Calculated density: 7.15 g/cm³
# - Calculated volume: 87 Å³/f.u.
# - Total DFT energy (no corrections): -2.95 eV/atom
# - Excess energy over the best structure of this formula in the dataset: 362 meV/atom
# - Magnetic moment: 0.000 Bohr magnetons per cell
data_TlCdSi2
_chemical_formula_sum 'Tl2 Cd2 Si4'
_cell_length_a 3.0020
_cell_length_b 5.4093
_cell_length_c 10.6703
_cell_angle_alpha 90.00
_cell_angle_beta 90.00
_cell_angle_gamma 90.00
_space_group_name_H-M_alt 'I m m m'
_space_group_IT_number 71
_space_group_name_Hall '-I 2 2'
loop_
_atom_site_label
_atom_site_fract_x
_atom_site_fract_y
_atom_site_fract_z
Tl1 0.0000 0.0000 0.0000
Cd1 0.0000 0.0000 0.5000
Si1 0.0000 0.5000 0.2348